An optimized crystal structure of TbEr3Sb4, computed with GGA-PBE.

Lattice parameters (Å, degrees): 6.1672 6.1672 6.1672 90.00 90.00 90.00
Closest atoms and distances in Å follow each position.
Space group Pm-3m (No. 221)
Symmetry-distinct sites (fractional):
Tb (0.0000, 0.0000, 0.0000) x1  6 Sb 3.08
Er (0.0000, 0.5000, 0.5000) x3  6 Sb 3.08
Sb (0.0000, 0.0000, 0.5000) x3  2 Tb 3.08, 4 Er 3.08
Sb (0.5000, 0.5000, 0.5000) x1  6 Er 3.08

Summary:
D(E_F) (states/eV/cell): 0.51
Uncorrected energy (eV/atom): -5.463
Total magnetic moment (μB/atom): 0.0000
ΔE_f (raw) (eV per atom): -1.112